(1)
A relaxed CsThZnS4 crystal, computed with GGA-PBE.

Geometry as extended XYZ:
```
14
Lattice="-5.5778 -3.4660 2.5369 3.4941 -3.7018 2.6248 2.1579 6.8776 6.8267" Properties=species:S:1:pos:R:3 pbc="T T T"
Cs 0.4787 1.2022 10.4305
Cs -0.4046 -1.4924 1.5580
Th -0.5346 -2.2823 6.8653
Th 0.6087 1.9921 5.1233
Zn 1.9157 -1.3976 4.8512
Zn -1.8416 1.1074 7.1373
S 3.2605 2.8044 6.0779
S -4.8132 -1.3710 4.6884
S -3.1863 -3.0946 5.9106
S 4.8874 1.0808 7.3001
S 0.4513 -3.0720 4.4392
S -0.3772 2.7818 7.5493
S 1.5288 -0.3092 6.9013
S -1.4546 0.0190 5.0872
```

Properties
The uncorrected formation energy comes out at -1.31 eV/atom. As for the density of states at the Fermi level: 0.271 states/eV/atom. For the size of the total moment, the calculation gives 0.0 Bohr magnetons per cell.

***

(2)
A relaxed Cs4TiS4 crystal, computed with GGA-PBE.

Geometry as extended XYZ:
```
18
Lattice="7.4441 0.0000 0.0000 0.0000 9.6437 0.0000 0.0000 0.0000 9.6437" Properties=species:S:1:pos:R:3 pbc="T T T"
Cs 2.6433 2.6985 9.6410
Cs 6.3654 4.8246 7.5203
Cs 2.6433 6.9453 0.0027
Cs 1.0787 2.1234 4.8246
Cs 4.8008 9.6410 6.9453
Cs 1.0787 7.5203 4.8192
Cs 6.3654 4.8192 2.1234
Cs 4.8008 0.0027 2.6985
Ti 0.0000 0.0000 0.0000
Ti 3.7221 4.8219 4.8219
S 5.0199 6.7104 4.8198
S 5.0199 2.9334 4.8239
S 1.2978 9.6417 7.7552
S 6.1463 1.8885 9.6417
S 6.1463 7.7552 0.0021
S 2.4243 4.8198 2.9334
S 2.4243 4.8239 6.7104
S 1.2978 0.0021 1.8885
```

Properties
The relative energy among the computed polymorphs is 0.0 kJ per mole of atoms. The uncorrected formation energy comes out at -1.34 eV/atom. As for the density of states at the Fermi level: 0.000 states/eV/atom. For the size of the total moment, the calculation gives 0.0 Bohr magnetons per cell.

***

(3)
A relaxed CsTiS2 crystal, computed with GGA-PBE.

Geometry as extended XYZ:
```
4
Lattice="0.0000 3.5621 3.5621 3.5621 0.0000 3.5621 3.5621 3.5621 0.0000" Properties=species:S:1:pos:R:3 pbc="T T T"
Cs 3.5621 3.5621 3.5621
S 1.7810 1.7810 1.7810
S 5.3431 5.3431 5.3431
Ti 0.0000 0.0000 0.0000
```

Properties
The uncorrected formation energy comes out at -0.15 eV/atom. As for the density of states at the Fermi level: 1.878 states/eV/atom. For the size of the total moment, the calculation gives 1.0 Bohr magnetons per cell.